No. 1
# NaBPS2

A relaxed structure of NaBPS2 (PBE, Alexandria via LeMat-Bulk).

Cell: 4.9274 4.9274 4.8425 Å, 90.00 90.00 90.00°
Last column: nearest neighbours and their distance in Å.
Space group P4/mmm (No. 123)
Unique sites:
Na1 0.0000 0.0000 0.0000 (multiplicity 1)  2 P 2.42, 4 S 2.46
B1 0.5000 0.5000 0.5000 (multiplicity 1)  8 S 3.45, 4 P 3.48
P1 0.0000 0.0000 0.5000 (multiplicity 1)  2 Na 2.42
S1 0.0000 0.5000 0.0000 (multiplicity 2)  2 Na 2.46

Calculated values
Energy above the lowest structure with this stoichiometry: 7.950 eV/f.u.
Crystal system: tetragonal
Formation energy (no corrections): 1.971 eV/atom

No. 2
# NdErI6

A relaxed structure of NdErI6 (PBE, Alexandria via LeMat-Bulk).

Cell: 7.6858 7.6858 20.8854 Å, 90.00 90.00 120.00°
Last column: nearest neighbours and their distance in Å.
Space group R-3 (No. 148, hexagonal axes)
Unique sites:
Nd1 0.0000 0.0000 0.0000 (multiplicity 3)  6 I 3.14
Er1 0.0000 0.0000 0.5000 (multiplicity 3)  6 I 3.02
I1 0.0013 0.6764 0.5818 (multiplicity 18)  1 Er 3.02, 1 Nd 3.14

Calculated values
Crystal system: trigonal
Formation energy (no corrections): -1.332 eV/atom

No. 3
# HfMgZrTl

A relaxed structure of HfMgZrTl (PBE, Alexandria via LeMat-Bulk).

Cell: 7.0638 7.0638 7.0638 Å, 90.00 90.00 90.00°
Last column: nearest neighbours and their distance in Å.
Space group F-43m (No. 216)
Unique sites:
Hf1 0.0000 0.0000 0.0000 (multiplicity 4)  4 Mg 3.06, 4 Tl 3.06
Mg1 0.2500 0.2500 0.2500 (multiplicity 4)  4 Zr 3.06, 4 Hf 3.06
Zr1 0.0000 0.0000 0.5000 (multiplicity 4)  4 Tl 3.06, 4 Mg 3.06
Tl1 0.2500 0.2500 0.7500 (multiplicity 4)  4 Zr 3.06, 4 Hf 3.06

Calculated values
ΔH_f (0 K): 0.14 eV per atom
Crystal system: cubic

No. 4
# NaIn3Pb

A relaxed structure of NaIn3Pb (PBE, Alexandria via LeMat-Bulk).

Cell: 5.9861 5.9861 5.9861 Å, 90.00 90.00 90.00°
Last column: nearest neighbours and their distance in Å.
Space group Pm-3m (No. 221)
Unique sites:
Na1 0.0000 0.0000 0.0000 (multiplicity 1)  12 In 4.23
In1 0.0000 0.5000 0.5000 (multiplicity 3)  2 Pb 2.99
Pb1 0.5000 0.5000 0.5000 (multiplicity 1)  6 In 2.99

Calculated values
Energy above the lowest structure with this stoichiometry: 1.890 eV/f.u.
ΔH_f (0 K): 0.36 eV per atom
Crystal system: cubic

No. 5
# DyYThTl

A relaxed structure of DyYThTl (PBE, Alexandria via LeMat-Bulk).

Cell: 7.7596 7.7596 7.7596 Å, 90.00 90.00 90.00°
Last column: nearest neighbours and their distance in Å.
Space group F-43m (No. 216)
Unique sites:
Dy1 0.0000 0.0000 0.0000 (multiplicity 4)  4 Tl 3.36, 4 Th 3.36
Y1 0.0000 0.0000 0.5000 (multiplicity 4)  4 Tl 3.36, 4 Th 3.36
Th1 0.2500 0.2500 0.2500 (multiplicity 4)  4 Y 3.36, 4 Dy 3.36
Tl1 0.2500 0.2500 0.7500 (multiplicity 4)  4 Dy 3.36, 4 Y 3.36

Calculated values
ΔH_f (0 K): 0.06 eV per atom
Crystal system: cubic

No. 6
# Os3Pb

A relaxed structure of Os3Pb (PBE, Alexandria via LeMat-Bulk).

Cell: 2.8936 9.2590 4.9109 Å, 90.00 90.00 90.00°
Last column: nearest neighbours and their distance in Å.
Space group Imm2 (No. 44)
Unique sites:
Os1 0.0000 0.0000 0.0000 (multiplicity 2)  8 Os 2.70-2.99, 4 Pb 2.75-2.95
Os2 0.0000 0.2694 0.3355 (multiplicity 4)  9 Os 2.70-2.99, 3 Pb 2.77-2.96
Pb1 0.0000 0.5000 0.9762 (multiplicity 2)  10 Os 2.75-2.96, 2 Pb 2.89

Calculated values
ΔH_f (0 K): 0.87 eV per atom
Crystal system: orthorhombic

No. 7
# Pa2Be16Co

A relaxed structure of Pa2Be16Co (PBE, Alexandria via LeMat-Bulk).

Cell: 7.8001 7.8001 11.2210 Å, 90.00 90.00 120.00°
Last column: nearest neighbours and their distance in Å.
Space group R3m (No. 160, hexagonal axes)
Unique sites:
Pa1 0.0000 0.0000 0.0000 (multiplicity 3)  19 Be 2.81-3.02
Pa2 0.0000 0.0000 0.3150 (multiplicity 3)  1 Co 2.60, 12 Be 2.87-2.89
Be1 0.0000 0.0000 0.7496 (multiplicity 3)  1 Co 2.28, 12 Be 2.37-2.40
Be2 0.0002 0.2725 0.6506 (multiplicity 18)  6 Be 2.12-2.28
Be3 0.0073 0.5037 0.4940 (multiplicity 9)  7 Be 2.23-2.37
Be4 0.1670 0.3340 0.4863 (multiplicity 9)  9 Be 2.17-2.38, 1 Co 2.35
Be5 0.1701 0.3401 0.1477 (multiplicity 9)  6 Be 2.21-2.30, 1 Co 2.32
Co1 0.0000 0.0000 0.5463 (multiplicity 3)  13 Be 2.28-2.43

Calculated values
ΔH_f (0 K): -0.13 eV per atom
Crystal system: trigonal

No. 8
# Sc6P3H

A relaxed structure of Sc6P3H (PBE, Alexandria via LeMat-Bulk).

Cell: 10.1371 12.3601 6.0491 Å, 90.00 90.00 90.00°
Last column: nearest neighbours and their distance in Å.
Space group Cmc2_1 (No. 36)
Unique sites:
Sc1 0.0000 0.0424 0.0000 (multiplicity 4)  1 H 2.07
Sc2 0.0000 0.2259 0.5106 (multiplicity 4)  1 H 2.19
Sc3 0.1641 0.2686 0.0141 (multiplicity 8)  1 H 2.08
Sc4 0.1649 0.4662 0.5145 (multiplicity 8)  4 P 2.56-2.73
P1 0.0000 0.3933 0.2251 (multiplicity 4)  7 Sc 2.58-2.73
P2 0.1724 0.1050 0.3027 (multiplicity 8)  7 Sc 2.56-2.79
H1 0.0000 0.1973 0.8687 (multiplicity 4)  4 Sc 2.07-2.19

Calculated values
Crystal system: orthorhombic

| no. | N(E_F) (states/eV/cell) | VASP energy (eV/atom) | total moment (Bohr magnetons per cell) |
| --- | --- | --- | --- |
| 1 | 6.1 | -2.36 | 0.0 |
| 2 | 0.0 | -3.66 | 0.0 |
| 3 | 11.9 | -5.47 | 0.0 |
| 4 | 3.9 | -2.29 | 0.0 |
| 5 | 31.5 | -5.15 | 3.0 |
| 6 | 7.8 | -8.48 | 0.0 |
| 7 | 24.8 | -4.64 | 0.0 |
| 8 | 39.7 | -6.71 | 1.6 |